Entry 1:
A plane-wave DFT calculation with PBE-GGA was carried out for an optimized crystal structure of Li15TcN6.

Values from the calculation:
Space group: Im-3m (229)
E_form (uncorrected): -0.273 eV/atom

a = 7.062 Å, b = 7.062 Å, c = 7.062 Å
α = 109.47°, β = 109.47°, γ = 109.47°
Fractional coordinates of all 22 atoms:
Li1 0.000 0.234 0.766
Li2 0.000 0.500 0.500
Li3 0.000 0.766 0.234
Li4 0.234 0.000 0.766
Li5 0.234 0.234 0.469
Li6 0.234 0.469 0.234
Li7 0.234 0.766 0.000
Li8 0.469 0.234 0.234
Li9 0.500 0.000 0.500
Li10 0.500 0.500 0.000
Li11 0.531 0.766 0.766
Li12 0.766 0.000 0.234
Li13 0.766 0.234 0.000
Li14 0.766 0.531 0.766
Li15 0.766 0.766 0.531
Tc1 0.000 0.000 0.000
N1 0.000 0.263 0.263
N2 0.000 0.737 0.737
N3 0.263 0.000 0.263
N4 0.263 0.263 0.000
N5 0.737 0.000 0.737
N6 0.737 0.737 0.000

Entry 2:
A plane-wave DFT calculation with PBE-GGA was carried out for an optimized crystal structure of KBa2Rh.

Values from the calculation:
Space group: I-4m2 (119)
Formation energy from the elements: 0.37 eV/atom
Polymorph energy (0 for the lowest one): 0.482 eV per atom

a = 6.668 Å, b = 6.668 Å, c = 6.668 Å
α = 135.13°, β = 135.13°, γ = 65.33°
Fractional coordinates of all 4 atoms:
K1 0.000 0.000 0.000
Ba1 0.500 0.500 0.000
Ba2 0.750 0.250 0.500
Rh1 0.250 0.750 0.500

Entry 3:
A plane-wave DFT calculation with PBE-GGA was carried out for an optimized crystal structure of CdPd12Au3.

Values from the calculation:
Space group: P4/mmm (123)
Formation energy from the elements: -0.10 eV/atom

a = 4.008 Å, b = 4.008 Å, c = 16.023 Å
α = 90.00°, β = 90.00°, γ = 90.00°
Fractional coordinates of all 16 atoms:
Cd1 0.000 0.000 0.000
Pd1 0.000 0.500 0.126
Pd2 0.000 0.500 0.375
Pd3 0.000 0.500 0.625
Pd4 0.000 0.500 0.874
Pd5 0.500 0.000 0.126
Pd6 0.500 0.000 0.375
Pd7 0.500 0.000 0.625
Pd8 0.500 0.000 0.874
Pd9 0.500 0.500 0.000
Pd10 0.500 0.500 0.251
Pd11 0.500 0.500 0.500
Pd12 0.500 0.500 0.749
Au1 0.000 0.000 0.251
Au2 0.000 0.000 0.500
Au3 0.000 0.000 0.749

Entry 4:
A plane-wave DFT calculation with PBE-GGA was carried out for an optimized crystal structure of Ta2CrRe.

Values from the calculation:
Space group: C2/m (12)
Formation energy from the elements: -0.07 eV/atom

a = 5.172 Å, b = 5.172 Å, c = 2.784 Å
α = 100.61°, β = 100.61°, γ = 115.48°
Fractional coordinates of all 4 atoms:
Ta1 0.000 0.500 0.000
Ta2 0.500 0.000 0.000
Cr1 0.000 0.000 0.500
Re1 0.500 0.500 0.500

Entry 5:
A plane-wave DFT calculation with PBE-GGA was carried out for an optimized crystal structure of GaSb2IO.

Values from the calculation:
Space group: P4/mmm (123)
E_form (uncorrected): -0.001 eV/atom
Polymorph energy (0 for the lowest one): 0.000 eV per atom

a = 4.529 Å, b = 4.529 Å, c = 6.977 Å
α = 90.00°, β = 90.00°, γ = 90.00°
Fractional coordinates of all 5 atoms:
Ga1 0.000 0.000 0.000
Sb1 0.000 0.500 0.500
Sb2 0.500 0.000 0.500
I1 0.500 0.500 0.000
O1 0.500 0.500 0.500

Entry 6:
A plane-wave DFT calculation with PBE-GGA was carried out for an optimized crystal structure of Sm3PdRu.

Values from the calculation:
Space group: P2_1/c (14)
Formation energy from the elements: -0.46 eV/atom
Polymorph energy (0 for the lowest one): 0.000 eV per atom

a = 8.769 Å, b = 7.410 Å, c = 8.324 Å
α = 90.00°, β = 107.82°, γ = 90.00°
Fractional coordinates of all 20 atoms:
Sm1 0.042 0.008 0.214
Sm2 0.042 0.492 0.714
Sm3 0.274 0.654 0.103
Sm4 0.274 0.846 0.603
Sm5 0.353 0.186 0.989
Sm6 0.353 0.314 0.489
Sm7 0.647 0.686 0.511
Sm8 0.647 0.814 0.011
Sm9 0.726 0.154 0.397
Sm10 0.726 0.346 0.897
Sm11 0.958 0.508 0.286
Sm12 0.958 0.992 0.786
Pd1 0.411 0.536 0.815
Pd2 0.411 0.964 0.315
Pd3 0.589 0.036 0.685
Pd4 0.589 0.464 0.185
Ru1 0.073 0.185 0.530
Ru2 0.073 0.315 0.030
Ru3 0.927 0.685 0.970
Ru4 0.927 0.815 0.470

Entry 7:
A plane-wave DFT calculation with PBE-GGA was carried out for an optimized crystal structure of KCuP.

Values from the calculation:
Space group: F-43m (216)
Formation energy from the elements: 1.14 eV/atom

a = 4.940 Å, b = 4.940 Å, c = 4.940 Å
α = 60.00°, β = 60.00°, γ = 60.00°
Fractional coordinates of all 3 atoms:
K1 0.000 0.000 0.000
Cu1 0.750 0.750 0.750
P1 0.250 0.250 0.250

Entry 8:
A plane-wave DFT calculation with PBE-GGA was carried out for an optimized crystal structure of AgSbPt.

Values from the calculation:
Space group: I4mm (107)
E_form (uncorrected): -0.095 eV/atom
Polymorph energy (0 for the lowest one): 0.085 eV per atom

a = 5.241 Å, b = 5.241 Å, c = 5.241 Å
α = 139.81°, β = 139.81°, γ = 58.15°
Fractional coordinates of all 3 atoms:
Ag1 0.000 0.000 0.000
Sb1 0.303 0.303 0.000
Pt1 0.681 0.681 0.000

Entry 9:
A plane-wave DFT calculation with PBE-GGA was carried out for an optimized crystal structure of SrGa2SiTc.

Values from the calculation:
Space group: P4/mmm (123)
E_form (uncorrected): -0.292 eV/atom

a = 4.857 Å, b = 4.857 Å, c = 4.680 Å
α = 90.00°, β = 90.00°, γ = 90.00°
Fractional coordinates of all 5 atoms:
Sr1 0.000 0.000 0.000
Ga1 0.000 0.500 0.500
Ga2 0.500 0.000 0.500
Si1 0.500 0.500 0.000
Tc1 0.500 0.500 0.500

Entry 10:
A plane-wave DFT calculation with PBE-GGA was carried out for an optimized crystal structure of PrY2Cd.

Values from the calculation:
Space group: Fm-3m (225)
Formation energy from the elements: 0.01 eV/atom
Polymorph energy (0 for the lowest one): 0.172 eV per atom

a = 5.523 Å, b = 5.523 Å, c = 5.523 Å
α = 60.00°, β = 60.00°, γ = 60.00°
Fractional coordinates of all 4 atoms:
Pr1 0.000 0.000 0.000
Y1 0.250 0.250 0.250
Y2 0.750 0.750 0.750
Cd1 0.500 0.500 0.500

Entry 11:
A plane-wave DFT calculation with PBE-GGA was carried out for an optimized crystal structure of In2ReCl.

Values from the calculation:
Space group: Pmmm (47)
E_form (uncorrected): 0.376 eV/atom
Polymorph energy (0 for the lowest one): 0.104 eV per atom

a = 2.927 Å, b = 5.076 Å, c = 5.672 Å
α = 90.00°, β = 90.00°, γ = 90.00°
Fractional coordinates of all 4 atoms:
In1 0.000 0.000 0.000
In2 0.500 0.500 0.500
Re1 0.000 0.000 0.500
Cl1 0.500 0.500 0.000

Entry 12:
A plane-wave DFT calculation with PBE-GGA was carried out for an optimized crystal structure of HgPdRhC2.

Values from the calculation:
Space group: P4/mmm (123)
Formation energy from the elements: 1.88 eV/atom

a = 3.909 Å, b = 3.909 Å, c = 5.487 Å
α = 90.00°, β = 90.00°, γ = 90.00°
Fractional coordinates of all 5 atoms:
Hg1 0.000 0.000 0.000
Pd1 0.500 0.500 0.500
Rh1 0.500 0.500 0.000
C1 0.000 0.500 0.500
C2 0.500 0.000 0.500

no.,calculated total energy (eV/cell)
1,-95.03
2,-10.81
3,-74.63
4,-46.07
5,-17.79
6,-123.66
7,-7.18
8,-13.30
9,-24.99
10,-18.59
11,-18.27
12,-21.89